#A
The following is a PBE calculation of a relaxed structure of DyThSi, from Alexandria.

Cell: 4.9048 4.9048 4.9048 Å, 60.00 60.00 60.00°
Fractional coordinates of all 3 atoms:
Si 0.2500 0.2500 0.2500
Th 0.5000 0.5000 0.5000
Dy 0.0000 0.0000 0.0000

SG: F-43m, No. 216
DOS(E_F): 1.98 states/eV per cell

***

#B
The following is a PBE calculation of a relaxed structure of DyThSi, from Alexandria.

Cell: 4.1268 4.7363 4.7363 Å, 120.00 90.00 90.00°
Fractional coordinates of all 3 atoms:
Si 0.9446 0.0000 0.0000
Th 0.2864 0.3333 0.6667
Dy 0.7690 0.6667 0.3333

SG: P3m1, No. 156
DOS(E_F): 3.08 states/eV per cell

***

Energies in meV per atom, measured from the most stable structure: #A 0; #B 186.

***

#A
The following is a PBE calculation of a relaxed structure of DyTmSi, from Alexandria.

Cell: 3.3662 3.3662 6.9508 Å, 104.01 104.01 90.00°
Fractional coordinates of all 3 atoms:
Si 0.2821 0.2821 0.5641
Tm 0.6453 0.6453 0.2905
Dy 0.9227 0.9227 0.8454

SG: I4mm, No. 107
DOS(E_F): 2.28 states/eV per cell

***

#B
The following is a PBE calculation of a relaxed structure of DyTmSi, from Alexandria.

Cell: 4.1442 5.9429 6.8642 Å, 76.73 107.57 110.43°
Fractional coordinates of all 6 atoms:
Dy 0.0157 0.5856 0.4071
Dy 0.8444 0.9653 0.6859
Tm 0.6046 0.0477 0.1236
Tm 0.2556 0.5031 0.9694
Si 0.5533 0.3612 0.7075
Si 0.3069 0.1896 0.3855

SG: C2/m, No. 12
DOS(E_F): 6.02 states/eV per cell

***

Energies in meV per atom, measured from the most stable structure: #A 165; #B 0.

***

#A
The following is a PBE calculation of a relaxed structure of Dy2TmSi2, from Alexandria.

Cell: 4.2199 7.4197 7.4197 Å, 90.00 90.00 90.00°
Fractional coordinates of all 10 atoms:
Dy 0.5000 0.1760 0.6760
Dy 0.5000 0.6760 0.8240
Dy 0.5000 0.8240 0.3240
Dy 0.5000 0.3240 0.1760
Tm 0.0000 0.0000 0.0000
Tm 0.0000 0.5000 0.5000
Si 0.0000 0.3826 0.8826
Si 0.0000 0.8826 0.6174
Si 0.0000 0.6174 0.1174
Si 0.0000 0.1174 0.3826

SG: P4/mbm, No. 127
DOS(E_F): 7.88 states/eV per cell

***

#B
The following is a PBE calculation of a relaxed structure of Dy2TmSi2, from Alexandria.

Cell: 4.2724 6.4111 9.5788 Å, 77.79 77.11 70.54°
Fractional coordinates of all 10 atoms:
Dy 0.3196 0.2718 0.0889
Dy 0.4836 0.3445 0.6883
Dy 0.6804 0.7282 0.9111
Dy 0.5164 0.6555 0.3117
Tm 0.7782 0.0803 0.3632
Tm 0.2218 0.9197 0.6368
Si 0.9811 0.1434 0.8943
Si 0.1116 0.3362 0.4406
Si 0.0189 0.8566 0.1057
Si 0.8884 0.6638 0.5594

SG: C2/m, No. 12
DOS(E_F): 5.65 states/eV per cell

***

Energies in meV per atom, measured from the most stable structure: #A 0; #B 99.

***

#A
The following is a PBE calculation of a relaxed structure of DyYZnSi, from Alexandria.

Cell: 4.1921 4.0669 5.7866 Å, 90.00 111.24 90.00°
Fractional coordinates of all 4 atoms:
Dy 0.8596 0.5000 0.7192
Y 0.1427 0.0000 0.2853
Zn 0.5711 0.5000 0.1422
Si 0.4266 0.0000 0.8533

SG: Amm2, No. 38
DOS(E_F): 3.79 states/eV per cell

***

#B
The following is a PBE calculation of a relaxed structure of DyYZnSi, from Alexandria.

Cell: 4.9798 4.9798 4.9798 Å, 60.00 60.00 60.00°
Fractional coordinates of all 4 atoms:
Y 0.0000 0.0000 0.0000
Zn 0.2500 0.2500 0.2500
Si 0.7500 0.7500 0.7500
Dy 0.5000 0.5000 0.5000

SG: F-43m, No. 216
DOS(E_F): 1.55 states/eV per cell

***

Energies in meV per atom, measured from the most stable structure: #A 0; #B 118.

***

#A
The following is a PBE calculation of a relaxed structure of DyZnSi2, from Alexandria.

Cell: 4.0436 4.2147 4.2147 Å, 90.00 90.00 90.00°
Fractional coordinates of all 4 atoms:
Zn 0.5000 0.0000 0.0000
Si 0.0000 0.0000 0.5000
Si 0.0000 0.5000 0.0000
Dy 0.5000 0.5000 0.5000

SG: P4/mmm, No. 123
DOS(E_F): 1.73 states/eV per cell

***

#B
The following is a PBE calculation of a relaxed structure of DyZnSi2, from Alexandria.

Cell: 3.0538 5.1826 5.1826 Å, 117.44 90.00 90.00°
Fractional coordinates of all 4 atoms:
Dy 0.0000 0.0540 0.9460
Zn 0.5000 0.5535 0.4465
Si 0.5000 0.0533 0.4457
Si 0.5000 0.5543 0.9467

SG: Cmmm, No. 65
DOS(E_F): 2.42 states/eV per cell

***

#C
The following is a PBE calculation of a relaxed structure of DyZnSi2, from Alexandria.

Cell: 4.1552 10.4151 13.6118 Å, 90.00 90.00 90.00°
Fractional coordinates of all 32 atoms:
Dy 0.7500 0.4480 0.6868
Dy 0.2500 0.9480 0.8132
Dy 0.2500 0.5520 0.3132
Dy 0.7500 0.0520 0.1868
Dy 0.7500 0.2384 0.9473
Dy 0.2500 0.7384 0.5527
Dy 0.2500 0.7616 0.0527
Dy 0.7500 0.2616 0.4473
Zn 0.7500 0.5418 0.9446
Zn 0.2500 0.0418 0.5554
Zn 0.2500 0.4582 0.0554
Zn 0.7500 0.9582 0.4446
Zn 0.7500 0.3575 0.2266
Zn 0.2500 0.8575 0.2734
Zn 0.2500 0.6425 0.7734
Zn 0.7500 0.1425 0.7266
Si 0.7500 0.9562 0.9768
Si 0.2500 0.4562 0.5232
Si 0.2500 0.0438 0.0232
Si 0.7500 0.5438 0.4768
Si 0.7500 0.7640 0.8895
Si 0.2500 0.2640 0.6105
Si 0.2500 0.2360 0.1105
Si 0.7500 0.7360 0.3895
Si 0.7500 0.7400 0.7119
Si 0.2500 0.2400 0.7881
Si 0.2500 0.2600 0.2881
Si 0.7500 0.7600 0.2119
Si 0.7500 0.9419 0.6327
Si 0.2500 0.4419 0.8673
Si 0.2500 0.0581 0.3673
Si 0.7500 0.5581 0.1327

SG: Pnma, No. 62
DOS(E_F): 9.56 states/eV per cell

***

Energies in meV per atom, measured from the most stable structure: #A 100; #B 165; #C 0.

***

#A
The following is a PBE calculation of a relaxed structure of Sm5Dy6, from Alexandria.

Cell: 9.1002 7.9824 6.4031 Å, 80.08 72.41 55.25°
Fractional coordinates of all 11 atoms:
Sm 0.5000 0.0000 0.5000
Sm 0.3706 0.2588 0.0000
Sm 0.6294 0.7412 0.0000
Sm 0.2397 0.5206 0.5000
Sm 0.7603 0.4794 0.5000
Dy 0.8360 0.0000 0.6894
Dy 0.1640 0.0000 0.3106
Dy 0.3074 0.7395 0.8274
Dy 0.9531 0.7395 0.1726
Dy 0.6926 0.2605 0.1726
Dy 0.0469 0.2605 0.8274

SG: C2/m, No. 12
DOS(E_F): 12.11 states/eV per cell

***

#B
The following is a PBE calculation of a relaxed structure of Sm5Dy6, from Alexandria.

Cell: 5.5796 9.4089 9.4089 Å, 116.66 107.25 107.25°
Fractional coordinates of all 11 atoms:
Sm 0.5000 0.5000 0.5000
Sm 0.0000 0.6620 0.3380
Sm 0.0000 0.3380 0.6620
Sm 0.5000 0.8005 0.1995
Sm 0.5000 0.1995 0.8005
Dy 0.7057 0.2059 0.2059
Dy 0.2943 0.7941 0.7941
Dy 0.7943 0.6575 0.9310
Dy 0.2056 0.0690 0.3425
Dy 0.2057 0.3425 0.0690
Dy 0.7944 0.9310 0.6575

SG: Immm, No. 71
DOS(E_F): 16.09 states/eV per cell

***

Energies in meV per atom, measured from the most stable structure: #A 22; #B 0.

***

#A
The following is a PBE calculation of a relaxed structure of Sm4Dy, from Alexandria.

Cell: 3.6100 3.6100 13.0303 Å, 97.96 97.96 90.00°
Fractional coordinates of all 5 atoms:
Sm 0.5988 0.5988 0.1976
Sm 0.1995 0.1995 0.3989
Sm 0.8005 0.8005 0.6011
Sm 0.4012 0.4012 0.8024
Dy 0.0000 0.0000 0.0000

SG: I4/mmm, No. 139
DOS(E_F): 6.46 states/eV per cell

***

#B
The following is a PBE calculation of a relaxed structure of Sm4Dy, from Alexandria.

Cell: 5.7618 5.7618 5.7618 Å, 90.00 90.00 90.00°
Fractional coordinates of all 5 atoms:
Sm 0.0000 0.0000 0.0000
Sm 0.5000 0.0000 0.5000
Sm 0.0000 0.5000 0.5000
Sm 0.5000 0.5000 0.0000
Dy 0.5000 0.5000 0.5000

SG: Pm-3m, No. 221
DOS(E_F): 8.21 states/eV per cell

***

Energies in meV per atom, measured from the most stable structure: #A 0; #B 640.

***

#A
The following is a PBE calculation of a relaxed structure of Sm6Dy, from Alexandria.

Cell: 6.5636 6.5636 11.2111 Å, 90.00 90.00 90.00°
Fractional coordinates of all 14 atoms:
Sm 0.5000 0.5000 0.1376
Sm 0.0000 0.0000 0.1376
Sm 0.0000 0.0000 0.8624
Sm 0.5000 0.5000 0.8624
Sm 0.8321 0.6679 0.3610
Sm 0.3321 0.8321 0.3610
Sm 0.6679 0.1679 0.3610
Sm 0.1679 0.3321 0.3610
Sm 0.6679 0.8321 0.6390
Sm 0.1679 0.6679 0.6390
Sm 0.8321 0.3321 0.6390
Sm 0.3321 0.1679 0.6390
Dy 0.5000 0.0000 0.0000
Dy 0.0000 0.5000 0.0000

SG: P4/nbm, No. 125
DOS(E_F): 17.89 states/eV per cell

***

#B
The following is a PBE calculation of a relaxed structure of Sm6Dy, from Alexandria.

Cell: 7.0012 7.0012 7.0012 Å, 109.47 109.47 109.47°
Fractional coordinates of all 7 atoms:
Sm 0.2500 0.7500 0.5000
Sm 0.5000 0.7500 0.2500
Sm 0.2500 0.5000 0.7500
Sm 0.7500 0.2500 0.5000
Sm 0.5000 0.2500 0.7500
Sm 0.7500 0.5000 0.2500
Dy 0.0000 0.0000 0.0000

SG: Im-3m, No. 229
DOS(E_F): 5.67 states/eV per cell

***

Energies in meV per atom, measured from the most stable structure: #A 0; #B 1072.

***

#A
The following is a PBE calculation of a relaxed structure of Sm5Dy2, from Alexandria.

Cell: 3.5980 9.5312 8.0664 Å, 64.91 77.12 67.81°
Fractional coordinates of all 7 atoms:
Sm 0.7160 0.4277 0.7135
Sm 0.2840 0.5723 0.2865
Sm 0.0000 0.0000 0.0000
Sm 0.8566 0.7157 0.8547
Sm 0.1434 0.2843 0.1453
Dy 0.5734 0.1415 0.5711
Dy 0.4266 0.8585 0.4289

SG: P-1, No. 2
DOS(E_F): 8.80 states/eV per cell

***

#B
The following is a PBE calculation of a relaxed structure of Sm5Dy2, from Alexandria.

Cell: 5.7452 5.7452 8.8029 Å, 70.95 70.95 60.00°
Fractional coordinates of all 7 atoms:
Sm 0.0689 0.0689 0.7934
Sm 0.7918 0.7918 0.6247
Sm 0.5000 0.5000 0.5000
Sm 0.2082 0.2082 0.3753
Sm 0.9311 0.9311 0.2066
Dy 0.6507 0.6507 0.0478
Dy 0.3493 0.3493 0.9522

SG: R-3m, No. 166
DOS(E_F): 18.86 states/eV per cell

***

Energies in meV per atom, measured from the most stable structure: #A 0; #B 128.

***

#A
The following is a PBE calculation of a relaxed structure of Sm2Dy7, from Alexandria.

Cell: 3.5502 9.6886 9.6886 Å, 120.00 90.00 90.00°
Fractional coordinates of all 9 atoms:
Sm 0.0000 0.6667 0.3333
Sm 0.0000 0.3333 0.6667
Dy 0.5000 0.6443 0.0000
Dy 0.5000 0.0000 0.6443
Dy 0.5000 0.3557 0.3557
Dy 0.0000 0.3041 0.0000
Dy 0.0000 0.0000 0.3041
Dy 0.0000 0.6959 0.6959
Dy 0.5000 0.0000 0.0000

SG: P-62m, No. 189
DOS(E_F): 16.77 states/eV per cell

***

#B
The following is a PBE calculation of a relaxed structure of Sm2Dy7, from Alexandria.

Cell: 6.1660 6.1660 8.7092 Å, 90.00 90.00 120.00°
Fractional coordinates of all 9 atoms:
Sm 0.3333 0.6667 0.0000
Sm 0.6667 0.3333 0.0000
Dy 0.0000 0.0000 0.0000
Dy 0.6672 0.0000 0.3350
Dy 0.0000 0.6672 0.3350
Dy 0.3328 0.3328 0.3350
Dy 0.0000 0.3328 0.6650
Dy 0.3328 0.0000 0.6650
Dy 0.6672 0.6672 0.6650

SG: P-31m, No. 162
DOS(E_F): 12.22 states/eV per cell

***

Energies in meV per atom, measured from the most stable structure: #A 24; #B 0.

***

#A
The following is a PBE calculation of a relaxed structure of Sm7Dy5, from Alexandria.

Cell: 5.7851 5.6253 14.7546 Å, 101.71 90.00 120.94°
Fractional coordinates of all 12 atoms:
Sm 0.2404 0.4808 0.6712
Sm 0.7596 0.5192 0.3288
Sm 0.0399 0.0799 0.2128
Sm 0.9601 0.9201 0.7872
Sm 0.6813 0.3627 0.0832
Sm 0.5000 0.0000 0.5000
Sm 0.3187 0.6373 0.9168
Dy 0.1411 0.2823 0.4397
Dy 0.8589 0.7177 0.5603
Dy 0.3751 0.7502 0.1995
Dy 0.6249 0.2498 0.8005
Dy 0.0000 0.0000 0.0000

SG: C2/m, No. 12
DOS(E_F): 20.57 states/eV per cell

***

#B
The following is a PBE calculation of a relaxed structure of Sm7Dy5, from Alexandria.

Cell: 3.6071 9.5327 12.1943 Å, 73.75 81.49 79.09°
Fractional coordinates of all 12 atoms:
Sm 0.6394 0.9722 0.7491
Sm 0.3606 0.0278 0.2509
Sm 0.0280 0.6938 0.2502
Sm 0.9720 0.3062 0.7498
Sm 0.3329 0.3323 0.0018
Sm 0.5000 0.5000 0.5000
Sm 0.6671 0.6677 0.9982
Dy 0.8326 0.8337 0.5011
Dy 0.1674 0.1663 0.4989
Dy 0.6942 0.3603 0.2513
Dy 0.3058 0.6397 0.7487
Dy 0.0000 0.0000 0.0000

SG: C2/m, No. 12
DOS(E_F): 15.95 states/eV per cell

***

Energies in meV per atom, measured from the most stable structure: #A 171; #B 0.